[1]
Material: Ca2In2Si
Method: DFT, PBE
State: relaxed

Cell lengths 7.3798, 7.3798, 4.9268 Å; angles 90.00, 90.00, 90.00 degrees
Space group P4/mbm (No. 127)
Unique sites:
Ca: 0.1709 0.3291 0.0000 (multiplicity 4)
In: 0.1389 0.6389 0.5000 (multiplicity 4)
Si: 0.0000 0.0000 0.5000 (multiplicity 2)


[2]
Material: CaIn3Si
Method: DFT, PBE
State: relaxed

Cell lengths 5.7767, 5.7767, 5.7767 Å; angles 90.00, 90.00, 90.00 degrees
Space group Pm-3m (No. 221)
Unique sites:
Ca: 0.0000 0.0000 0.0000 (multiplicity 1)
In: 0.0000 0.0000 0.5000 (multiplicity 3)
Si: 0.5000 0.5000 0.5000 (multiplicity 1)


Q: Which raw formation energy values were calculated for the entries above? A: -0.217 1.009, in eV per atom.